Entry 1:
Here is a relaxed structure of FeSb2Ir from Alexandria. Energies are from PBE.

```
FeSb2Ir
1.0
3.677 0.000 0.000
0.000 3.677 0.000
0.000 0.000 5.388
Fe Sb Ir
1 2 1
direct
0.000 0.000 0.000
0.000 0.000 0.491
0.500 0.500 0.863
0.500 0.500 0.351
```

## Properties
As for the crystal system: tetragonal. The total energy is -6.238 eV/atom. The volume is 18.21 A^3/atom. The calculation puts the formation energy (no corrections) at 0.154 eV/atom. For the size of the total moment, the calculation gives 1.034 Bohr magnetons per cell.

***

Entry 2:
Here is a relaxed structure of KBaP2 from Alexandria. Energies are from PBE.

```
KBaP2
1.0
-2.450 2.450 4.566
2.450 -2.450 4.566
2.450 2.450 -4.566
K Ba P
1 1 2
direct
0.000 0.000 0.000
0.500 0.500 0.000
0.250 0.750 0.500
0.750 0.250 0.500
```

## Properties
As for the crystal system: tetragonal. The total energy is -3.684 eV/atom. The volume is 27.41 A^3/atom. For the formation energy, the calculation gives -0.22 eV/atom. For the size of the total moment, the calculation gives 0.000 Bohr magnetons per cell.

***

| no. | excess energy over the best structure of this formula in the dataset (meV per atom) |
| --- | --- |
| 1 | 257 |
| 2 | 420 |